1.
{"formula": "CoAg2Sb", "functional": "PBE-GGA", "state": "relaxed", "raw_formation_energy_ev_per_atom": 0.290, "sg": "I-4m2 (119)", "lattice_angstrom": [[-0.673, -1.624, -4.612], [1.210, -4.785, 0.069], [-3.085, 2.502, 2.930]], "species": ["Ag", "Ag", "Sb", "Co"], "fractional_positions": [[0.250, 0.750, 0.500], [0.000, 0.000, 0.000], [0.750, 0.250, 0.500], [0.500, 0.500, 0.000]]}

---

2.
{"formula": "KMgIn2", "functional": "PBE-GGA", "state": "relaxed", "ef_ev_per_fu": 0.2, "sg": "Immm (71)", "lattice_angstrom": [[6.635, 0.230, 0.295], [2.708, 6.062, -0.295], [-3.875, -4.328, 3.227]], "species": ["Mg", "In", "In", "K"], "fractional_positions": [[0.250, 0.750, 0.500], [0.472, 0.472, 0.000], [0.028, 0.028, 0.000], [0.750, 0.250, 0.500]]}

---

3.
{"formula": "Rb", "functional": "PBE-GGA", "state": "relaxed", "polymorph_energy_mev_per_atom": 168, "ef_ev_per_fu": 0.2, "sg": "P6_3/mmc (194)", "lattice_angstrom": [[7.755, 0.000, 0.000], [-3.878, 6.716, 0.000], [0.000, 0.000, 8.354]], "species": ["Rb", "Rb", "Rb", "Rb"], "fractional_positions": [[0.000, 0.000, 0.750], [0.333, 0.667, 0.250], [0.667, 0.333, 0.750], [0.000, 0.000, 0.250]]}

---

4.
{"formula": "La2Er5Tm2", "functional": "PBE-GGA", "state": "relaxed", "polymorph_energy_mev_per_atom": 0, "ef_ev_per_fu": 0.9, "sg": "P-1 (2)", "lattice_angstrom": [[-3.569, -0.320, 0.556], [2.266, -6.791, -1.264], [5.088, 4.369, 11.582]], "species": ["Tm", "Tm", "La", "La", "Er", "Er", "Er", "Er", "Er"], "fractional_positions": [[0.530, 0.281, 0.890], [0.470, 0.719, 0.110], [0.541, 0.808, 0.640], [0.459, 0.192, 0.360], [0.223, 0.227, 0.610], [0.878, 0.390, 0.183], [0.122, 0.610, 0.817], [0.000, 0.000, 0.000], [0.777, 0.773, 0.390]]}

---

5.
{"formula": "Rb2ErAuCl6", "functional": "PBE-GGA", "state": "relaxed", "raw_formation_energy_ev_per_atom": -1.677, "polymorph_energy_mev_per_atom": 31, "sg": "Fm-3m (225)", "lattice_angstrom": [[-7.141, 0.301, 2.543], [-4.777, 5.231, -2.716], [-5.727, -2.076, -4.521]], "species": ["Cl", "Cl", "Cl", "Cl", "Cl", "Cl", "Au", "Er", "Rb", "Rb"], "fractional_positions": [[0.757, 0.757, 0.243], [0.243, 0.757, 0.757], [0.243, 0.243, 0.757], [0.757, 0.243, 0.757], [0.243, 0.757, 0.243], [0.757, 0.243, 0.243], [0.500, 0.500, 0.500], [0.000, 0.000, 0.000], [0.250, 0.250, 0.250], [0.750, 0.750, 0.750]]}

---

6.
{"formula": "ZrCo2Hg", "functional": "PBE-GGA", "state": "relaxed", "ef_ev_per_fu": 0.2, "sg": "I-4m2 (119)", "lattice_angstrom": [[-4.804, 1.264, -1.124], [-2.365, -2.902, -3.453], [2.702, -0.787, 4.245]], "species": ["Hg", "Zr", "Co", "Co"], "fractional_positions": [[0.500, 0.500, 0.000], [0.750, 0.250, 0.500], [0.000, 0.000, 0.000], [0.250, 0.750, 0.500]]}

---

7.
{"formula": "TiZn4Au", "functional": "PBE-GGA", "state": "relaxed", "polymorph_energy_mev_per_atom": 146, "ef_ev_per_fu": -0.3, "sg": "F-43m (216)", "lattice_angstrom": [[-0.472, 2.175, -4.575], [-0.264, -2.893, -4.177], [-4.381, -0.380, -2.558]], "species": ["Ti", "Zn", "Zn", "Zn", "Zn", "Au"], "fractional_positions": [[0.250, 0.250, 0.250], [0.624, 0.127, 0.624], [0.624, 0.624, 0.624], [0.624, 0.624, 0.127], [0.127, 0.624, 0.624], [0.000, 0.000, 0.000]]}

---

8.
{"formula": "Pm4PPb2", "functional": "PBE-GGA", "state": "relaxed", "polymorph_energy_mev_per_atom": 20, "ef_ev_per_fu": -4.5, "sg": "P2_1/m (11)", "lattice_angstrom": [[-4.273, -1.933, -5.010], [4.301, -4.637, -1.879], [-1.819, -5.130, 8.499]], "species": ["Pm", "Pm", "Pm", "Pm", "Pm", "Pm", "Pm", "Pm", "Pb", "Pb", "Pb", "Pb", "P", "P"], "fractional_positions": [[0.085, 0.750, 0.419], [0.060, 0.750, 0.872], [0.490, 0.500, 0.251], [0.510, 0.000, 0.749], [0.510, 0.500, 0.749], [0.915, 0.250, 0.581], [0.940, 0.250, 0.128], [0.490, 0.000, 0.251], [0.700, 0.750, 0.054], [0.713, 0.750, 0.549], [0.300, 0.250, 0.946], [0.287, 0.250, 0.451], [0.137, 0.750, 0.159], [0.863, 0.250, 0.841]]}

---

9.
{"formula": "PuPH", "functional": "PBE-GGA", "state": "relaxed", "polymorph_energy_mev_per_atom": 319, "sg": "I4mm (107)", "lattice_angstrom": [[3.939, 0.000, 0.000], [0.000, 3.939, 0.000], [-1.970, -1.970, 3.319]], "species": ["P", "H", "Pu"], "fractional_positions": [[0.888, 0.888, 0.775], [0.658, 0.658, 0.316], [0.304, 0.304, 0.608]]}

---

10.
{"formula": "Pa3Cr", "functional": "PBE-GGA", "state": "relaxed", "ef_ev_per_fu": 0.9, "sg": "Imm2 (44)", "lattice_angstrom": [[3.270, 0.000, 0.000], [0.000, 5.424, 0.000], [-1.635, -2.712, 4.877]], "species": ["Pa", "Pa", "Pa", "Cr"], "fractional_positions": [[0.301, 0.646, 0.602], [0.500, 0.438, 0.000], [0.699, 0.044, 0.398], [0.000, 0.038, 0.000]]}

---

11.
{"formula": "Rb2InIrF6", "functional": "PBE-GGA", "state": "relaxed", "raw_formation_energy_ev_per_atom": -2.030, "sg": "Fm-3m (225)", "lattice_angstrom": [[6.491, 0.000, 0.000], [0.000, 6.491, 0.000], [3.246, 3.246, 4.590]], "species": ["F", "F", "F", "F", "F", "F", "Rb", "Rb", "In", "Ir"], "fractional_positions": [[0.777, 0.777, 0.000], [0.777, 0.223, 0.000], [0.223, 0.777, 0.000], [0.777, 0.777, 0.447], [0.223, 0.223, 0.553], [0.223, 0.223, 0.000], [0.750, 0.250, 0.500], [0.250, 0.750, 0.500], [0.500, 0.500, 0.000], [0.000, 0.000, 0.000]]}

---

12.
{"formula": "PmHoTmCu", "functional": "PBE-GGA", "state": "relaxed", "ef_ev_per_fu": -0.4, "sg": "P4mm (99)", "lattice_angstrom": [[3.484, 0.000, 0.000], [0.000, 3.484, 0.000], [0.000, 0.000, 8.687]], "species": ["Cu", "Tm", "Pm", "Ho"], "fractional_positions": [[0.000, 0.000, 0.567], [0.500, 0.500, 0.380], [0.000, 0.000, 0.074], [0.500, 0.500, 0.765]]}

---

13.
{"formula": "SrCoN", "functional": "PBE-GGA", "state": "relaxed", "raw_formation_energy_ev_per_atom": -0.431, "sg": "Pnma (62)", "lattice_angstrom": [[-1.664, -1.966, 3.820], [1.721, -4.698, -1.668], [7.908, 1.415, 4.173]], "species": ["N", "N", "N", "N", "Co", "Co", "Co", "Co", "Sr", "Sr", "Sr", "Sr"], "fractional_positions": [[0.750, 0.268, 0.582], [0.250, 0.732, 0.418], [0.250, 0.768, 0.918], [0.750, 0.232, 0.082], [0.500, 0.500, 0.500], [0.500, 0.000, 0.000], [0.000, 0.500, 0.500], [0.000, 0.000, 0.000], [0.250, 0.477, 0.158], [0.750, 0.977, 0.342], [0.250, 0.023, 0.658], [0.750, 0.523, 0.842]]}

---

14.
{"formula": "K4Ge", "functional": "PBE-GGA", "state": "relaxed", "ef_ev_per_fu": 0.6, "sg": "Pm-3m (221)", "lattice_angstrom": [[6.696, 0.000, 0.000], [0.000, 6.696, 0.000], [0.000, 0.000, 6.696]], "species": ["K", "K", "K", "K", "Ge"], "fractional_positions": [[0.000, 0.500, 0.500], [0.500, 0.000, 0.500], [0.000, 0.000, 0.000], [0.500, 0.500, 0.000], [0.500, 0.500, 0.500]]}

---

15.
{"formula": "LiReSe2", "functional": "PBE-GGA", "state": "relaxed", "raw_formation_energy_ev_per_atom": 0.118, "polymorph_energy_mev_per_atom": 360, "sg": "Immm (71)", "lattice_angstrom": [[5.337, 0.043, 0.036], [0.765, 5.282, -0.036], [-1.831, -4.060, 2.941]], "species": ["Re", "Se", "Se", "Li"], "fractional_positions": [[0.250, 0.750, 0.500], [0.028, 0.028, 0.000], [0.472, 0.472, 0.000], [0.750, 0.250, 0.500]]}

---

16.
{"formula": "AlIn3Hg7", "functional": "PBE-GGA", "state": "relaxed", "ef_ev_per_fu": 0.6, "sg": "C222_1 (20)", "lattice_angstrom": [[0.471, 2.819, 7.243], [-6.287, 1.024, -4.478], [-4.459, -9.662, 4.052]], "species": ["Hg", "Hg", "Hg", "Hg", "Hg", "Hg", "Hg", "Hg", "Hg", "Hg", "Hg", "Hg", "Hg", "Hg", "In", "In", "In", "In", "In", "In", "Al", "Al"], "fractional_positions": [[0.901, 0.640, 0.987], [0.960, 0.326, 0.859], [0.640, 0.901, 0.013], [0.613, 0.387, 0.250], [0.387, 0.613, 0.750], [0.991, 0.009, 0.250], [0.609, 0.391, 0.750], [0.040, 0.674, 0.359], [0.009, 0.991, 0.750], [0.674, 0.040, 0.641], [0.360, 0.099, 0.513], [0.326, 0.960, 0.141], [0.391, 0.609, 0.250], [0.099, 0.360, 0.487], [0.030, 0.642, 0.639], [0.358, 0.970, 0.861], [0.642, 0.030, 0.361], [0.564, 0.564, 0.500], [0.970, 0.358, 0.139], [0.436, 0.436, 0.000], [0.056, 0.056, 0.000], [0.944, 0.944, 0.500]]}

---

17.
{"formula": "CsZnSiPt2", "functional": "PBE-GGA", "state": "relaxed", "raw_formation_energy_ev_per_atom": 0.600, "sg": "P4/mmm (123)", "lattice_angstrom": [[5.017, 0.000, 0.000], [0.000, 4.703, 0.000], [0.000, 0.000, 5.017]], "species": ["Pt", "Pt", "Si", "Cs", "Zn"], "fractional_positions": [[0.500, 0.000, 0.000], [0.000, 0.000, 0.500], [0.000, 0.500, 0.000], [0.500, 0.500, 0.500], [0.000, 0.000, 0.000]]}

---

18.
{"formula": "LiPt3S", "functional": "PBE-GGA", "state": "relaxed", "raw_formation_energy_ev_per_atom": 0.043, "polymorph_energy_mev_per_atom": 0, "sg": "Pm-3m (221)", "lattice_angstrom": [[-2.273, 3.198, 2.242], [-2.284, -3.193, 2.238], [3.168, -0.007, 3.222]], "species": ["Pt", "Pt", "Pt", "Li", "S"], "fractional_positions": [[0.000, 0.000, 0.500], [0.000, 0.500, 0.000], [0.500, 0.000, 0.000], [0.500, 0.500, 0.500], [0.000, 0.000, 0.000]]}

---

19.
{"formula": "BaSbCI2", "functional": "PBE-GGA", "state": "relaxed", "raw_formation_energy_ev_per_atom": 0.304, "polymorph_energy_mev_per_atom": 0, "sg": "P4/mmm (123)", "lattice_angstrom": [[5.404, 0.000, 0.000], [0.000, 5.404, 0.000], [0.000, 0.000, 4.993]], "species": ["Ba", "I", "I", "C", "Sb"], "fractional_positions": [[0.500, 0.500, 0.500], [0.500, 0.000, 0.000], [0.000, 0.500, 0.000], [0.000, 0.000, 0.000], [0.000, 0.000, 0.500]]}

---

20.
{"formula": "BSb2S", "functional": "PBE-GGA", "state": "relaxed", "raw_formation_energy_ev_per_atom": 0.509, "polymorph_energy_mev_per_atom": 0, "sg": "I-42d (122)", "lattice_angstrom": [[-4.228, -4.604, 1.445], [-0.390, -1.589, -6.204], [0.961, -5.936, -1.857]], "species": ["Sb", "Sb", "Sb", "Sb", "B", "B", "S", "S"], "fractional_positions": [[0.875, 0.816, 0.750], [0.184, 0.625, 0.250], [0.566, 0.125, 0.250], [0.375, 0.434, 0.750], [0.250, 0.750, 0.500], [0.500, 0.500, 0.000], [0.750, 0.250, 0.500], [0.000, 0.000, 0.000]]}

---

21.
{"formula": "Pr4ZnSb", "functional": "PBE-GGA", "state": "relaxed", "raw_formation_energy_ev_per_atom": -0.319, "sg": "Cmcm (63)", "lattice_angstrom": [[5.728, 0.000, 0.000], [0.000, 6.493, 0.000], [-2.864, 0.000, 10.555]], "species": ["Pr", "Pr", "Pr", "Pr", "Pr", "Pr", "Pr", "Pr", "Sb", "Sb", "Zn", "Zn"], "fractional_positions": [[0.707, 0.073, 0.414], [0.558, 0.322, 0.116], [0.891, 0.322, 0.782], [0.707, 0.571, 0.414], [0.109, 0.822, 0.218], [0.293, 0.573, 0.586], [0.442, 0.822, 0.884], [0.293, 0.071, 0.586], [0.150, 0.322, 0.300], [0.850, 0.822, 0.700], [0.581, 0.822, 0.162], [0.419, 0.322, 0.838]]}

---

22.
{"formula": "Pr3Si2Pt2", "functional": "PBE-GGA", "state": "relaxed", "raw_formation_energy_ev_per_atom": -0.953, "sg": "Pbcm (57)", "lattice_angstrom": [[-0.512, -4.556, -3.513], [-0.718, -4.936, 6.506], [-13.285, 1.654, -0.211]], "species": ["Pr", "Pr", "Pr", "Pr", "Pr", "Pr", "Pr", "Pr", "Pr", "Pr", "Pr", "Pr", "Pt", "Pt", "Pt", "Pt", "Pt", "Pt", "Pt", "Pt", "Si", "Si", "Si", "Si", "Si", "Si", "Si", "Si"], "fractional_positions": [[0.874, 0.114, 0.396], [0.874, 0.114, 0.104], [0.874, 0.386, 0.896], [0.874, 0.386, 0.604], [0.353, 0.244, 0.750], [0.126, 0.886, 0.896], [0.126, 0.614, 0.104], [0.353, 0.256, 0.250], [0.126, 0.886, 0.604], [0.647, 0.744, 0.750], [0.647, 0.756, 0.250], [0.126, 0.614, 0.396], [0.615, 0.041, 0.908], [0.385, 0.541, 0.592], [0.615, 0.459, 0.408], [0.385, 0.541, 0.908], [0.615, 0.459, 0.092], [0.385, 0.959, 0.092], [0.615, 0.041, 0.592], [0.385, 0.959, 0.408], [0.644, 0.750, 0.500], [0.838, 0.095, 0.750], [0.356, 0.250, 0.000], [0.356, 0.250, 0.500], [0.838, 0.405, 0.250], [0.644, 0.750, 0.000], [0.162, 0.905, 0.250], [0.162, 0.595, 0.750]]}

---

23.
{"formula": "Mg2AgGe", "functional": "PBE-GGA", "state": "relaxed", "ef_ev_per_fu": -0.2, "sg": "R3m (160)", "lattice_angstrom": [[-3.948, 1.210, -1.697], [-2.487, -2.977, -2.209], [-4.361, -1.880, 2.932]], "species": ["Mg", "Mg", "Ag", "Ge"], "fractional_positions": [[0.270, 0.270, 0.190], [0.065, 0.065, 0.804], [0.491, 0.491, 0.528], [0.674, 0.674, 0.978]]}

---

24.
{"formula": "Ho2B7Rh12", "functional": "PBE-GGA", "state": "relaxed", "ef_ev_per_fu": -9.8, "sg": "P-3 (147)", "lattice_angstrom": [[-0.079, 2.104, 3.340], [-6.036, 5.380, -3.533], [-2.554, -7.173, 4.459]], "species": ["B", "B", "B", "B", "B", "B", "B", "Rh", "Rh", "Rh", "Rh", "Rh", "Rh", "Rh", "Rh", "Rh", "Rh", "Rh", "Rh", "Ho", "Ho"], "fractional_positions": [[0.245, 0.705, 0.596], [0.755, 0.110, 0.705], [0.245, 0.404, 0.110], [0.755, 0.295, 0.404], [0.755, 0.596, 0.890], [0.245, 0.890, 0.295], [0.500, 0.000, 0.000], [0.747, 0.901, 0.753], [0.253, 0.753, 0.852], [0.747, 0.247, 0.148], [0.751, 0.555, 0.622], [0.249, 0.934, 0.555], [0.751, 0.378, 0.934], [0.747, 0.852, 0.099], [0.751, 0.066, 0.445], [0.249, 0.622, 0.066], [0.253, 0.148, 0.901], [0.249, 0.445, 0.378], [0.253, 0.099, 0.247], [0.253, 0.333, 0.667], [0.747, 0.667, 0.333]]}

---

| no. | total moment (μB per formula unit) | N(E_F) (states/eV/cell) |
| --- | --- | --- |
| 1 | 1.215 | 4.03 |
| 2 | 0.000 | 1.31 |
| 3 | 0.000 | 3.85 |
| 4 | 0.000 | 12.45 |
| 5 | 0.000 | 0.00 |
| 6 | 0.675 | 5.15 |
| 7 | 2.186 | 3.94 |
| 8 | 0.005 | 11.28 |
| 9 | 5.872 | 8.06 |
| 10 | 0.000 | 7.24 |
| 11 | 0.000 | 0.00 |
| 12 | 0.000 | 4.28 |
| 13 | 1.498 | 5.23 |
| 14 | 0.584 | 4.07 |
| 15 | 0.813 | 2.58 |
| 16 | 0.000 | 9.39 |
| 17 | 0.000 | 8.22 |
| 18 | 0.000 | 2.68 |
| 19 | 0.000 | 3.36 |
| 20 | 0.000 | 5.27 |
| 21 | 0.000 | 15.46 |
| 22 | 0.000 | 20.33 |
| 23 | 0.000 | 1.21 |
| 24 | 0.000 | 11.66 |